No. 1
# HfZr7Sc3

HfZr7Sc3 after structural relaxation (PBE, the Alexandria database).

Properties
M_tot: 0.2 μB per cell

Unit cell a=3.1628 b=12.9764 c=14.5700 alpha=90.00 beta=90.00 gamma=97.00
Closest atoms and distances in Å follow each position.
Element x y z (fractional)
Sc (0.2231, 0.4461, 0.7500)  2 Sc 3.16, 4 Zr 3.28
Sc (0.7769, 0.5539, 0.2500)  2 Sc 3.16, 4 Zr 3.28
Sc (0.0981, 0.1962, 0.0411)  2 Sc 3.16, 10 Zr 3.20-3.53
Sc (0.9019, 0.8038, 0.5411)  2 Sc 3.16, 10 Zr 3.20-3.53
Sc (0.0981, 0.1962, 0.4589)  2 Sc 3.16, 10 Zr 3.20-3.53
Sc (0.9019, 0.8038, 0.9589)  2 Sc 3.16, 10 Zr 3.20-3.53
Zr (0.3733, 0.7465, 0.1499)  2 Zr 2.77-2.92
Zr (0.4336, 0.8672, 0.7500)  4 Zr 3.00-3.16, 2 Hf 3.16
Zr (0.3733, 0.7465, 0.3501)  2 Zr 2.77-2.92
Zr (0.2955, 0.5911, 0.0183)  3 Zr 2.77-2.88
Zr (0.5664, 0.1328, 0.2500)  4 Zr 3.00-3.16, 2 Hf 3.16
Zr (0.5064, 0.0129, 0.9110)  1 Zr 2.62
Zr (0.7045, 0.4089, 0.5183)  3 Zr 2.77-2.88
Zr (0.2955, 0.5911, 0.4817)  3 Zr 2.77-2.88
Zr (0.6267, 0.2535, 0.6499)  2 Zr 2.77-2.92
Zr (0.6267, 0.2535, 0.8501)  2 Zr 2.77-2.92
Zr (0.5064, 0.0129, 0.5890)  1 Zr 2.61
Zr (0.4936, 0.9871, 0.0890)  1 Zr 2.62
Zr (0.4936, 0.9871, 0.4110)  1 Zr 2.61
Zr (0.7045, 0.4089, 0.9817)  3 Zr 2.77-2.88
Hf (0.0397, 0.0793, 0.7500)  10 Zr 2.96-3.16, 2 Hf 3.16
Hf (0.9603, 0.9207, 0.2500)  10 Zr 2.96-3.16, 2 Hf 3.16

***

No. 2
# Hf7Zr4Sc

Hf7Zr4Sc after structural relaxation (PBE, the Alexandria database).

Properties
M_tot: 0.0 μB per cell

Unit cell a=6.0908 b=10.5150 c=5.7352 alpha=74.93 beta=83.15 gamma=50.99
Closest atoms and distances in Å follow each position.
Element x y z (fractional)
Hf (0.2125, 0.0448, 0.4930)  6 Hf 3.01-3.35, 1 Sc 3.08, 3 Zr 3.10-3.26
Hf (0.2814, 0.6204, 0.8092)  4 Hf 2.88-3.16, 4 Zr 2.97-3.18
Hf (0.5000, 0.0000, 0.0000)  2 Sc 3.05, 4 Zr 3.10-3.22, 6 Hf 3.12-3.35
Hf (0.0483, 0.6409, 0.3268)  5 Zr 3.02-3.27, 5 Hf 3.05-3.33
Hf (0.7875, 0.9552, 0.5070)  6 Hf 3.01-3.35, 1 Sc 3.08, 3 Zr 3.10-3.26
Hf (0.9517, 0.3591, 0.6732)  5 Zr 3.02-3.27, 5 Hf 3.05-3.33
Hf (0.7186, 0.3796, 0.1908)  4 Hf 2.88-3.16, 4 Zr 2.97-3.18
Zr (0.5175, 0.2878, 0.6525)  1 Sc 2.97, 7 Hf 2.97-3.22, 2 Zr 3.14
Zr (0.2789, 0.3177, 0.1686)  8 Hf 3.04-3.32, 3 Zr 3.14-3.36
Zr (0.7211, 0.6823, 0.8314)  8 Hf 3.04-3.32, 3 Zr 3.14-3.36
Zr (0.4825, 0.7122, 0.3475)  1 Sc 2.97, 7 Hf 2.97-3.22, 2 Zr 3.14
Sc (0.0000, 0.0000, 0.0000)  2 Zr 2.97, 4 Hf 3.05-3.08

***

No. 3
# HfZrSc3

HfZrSc3 after structural relaxation (PBE, the Alexandria database).

Properties
M_tot: 0.0 μB per cell
ΔE to the lowest computed polymorph: 0 meV/atom

Unit cell a=3.1840 b=7.6220 c=13.1057 alpha=110.30 beta=127.37 gamma=77.94
Closest atoms and distances in Å follow each position.
Element x y z (fractional)
Sc (0.4205, 0.9303, 0.3542)  3 Zr 3.05-3.13, 7 Sc 3.14-3.41, 2 Hf 3.20
Sc (0.9122, 0.5083, 0.2663)  4 Zr 3.18-3.30, 7 Sc 3.18-3.49, 2 Hf 3.32
Sc (0.0878, 0.4917, 0.7337)  4 Zr 3.18-3.30, 7 Sc 3.18-3.49, 2 Hf 3.32
Sc (0.5795, 0.0697, 0.6458)  3 Zr 3.05-3.13, 7 Sc 3.14-3.41, 2 Hf 3.20
Sc (0.7587, 0.7173, 0.0471)  8 Sc 3.14-3.49, 4 Hf 3.19-3.20
Sc (0.2413, 0.2827, 0.9529)  8 Sc 3.14-3.49, 4 Hf 3.19-3.20
Zr (0.0283, 0.6942, 0.5503)  1 Zr 2.79, 1 Hf 3.05, 1 Sc 3.05
Zr (0.9717, 0.3058, 0.4497)  1 Zr 2.79, 1 Hf 3.05, 1 Sc 3.05
Hf (0.6734, 0.8962, 0.8486)  1 Zr 3.05, 3 Hf 3.09-3.18, 8 Sc 3.19-3.32
Hf (0.3266, 0.1038, 0.1514)  1 Zr 3.05, 3 Hf 3.09-3.18, 8 Sc 3.19-3.32

***

No. 4
# Hf5Zr6Sc

Hf5Zr6Sc after structural relaxation (PBE, the Alexandria database).

Properties
M_tot: 0.0 μB per cell

Unit cell a=10.0263 b=4.5218 c=7.1553 alpha=71.58 beta=81.83 gamma=63.27
Closest atoms and distances in Å follow each position.
Element x y z (fractional)
Hf (0.0000, 0.6695, 0.6611)  2 Hf 3.15, 8 Zr 3.16-3.22, 2 Sc 3.23
Hf (0.5000, 0.5000, 0.0000)  8 Zr 3.17-3.18, 4 Hf 3.20
Hf (0.5000, 0.8331, 0.3338)  8 Zr 3.17, 4 Hf 3.19-3.20
Hf (0.0000, 0.3305, 0.3389)  2 Hf 3.15, 8 Zr 3.16-3.22, 2 Sc 3.23
Hf (0.5000, 0.1669, 0.6662)  8 Zr 3.17, 4 Hf 3.19-3.20
Zr (0.7482, 0.0849, 0.3341)  7 Hf 3.16-3.20, 4 Zr 3.19-3.20, 1 Sc 3.20
Zr (0.7478, 0.7524, 0.0000)  6 Hf 3.17-3.22, 2 Sc 3.19-3.20, 4 Zr 3.20
Zr (0.2518, 0.9151, 0.6659)  7 Hf 3.16-3.20, 4 Zr 3.19-3.20, 1 Sc 3.20
Zr (0.2522, 0.2476, 0.0000)  6 Hf 3.17-3.22, 2 Sc 3.19-3.20, 4 Zr 3.20
Zr (0.7482, 0.4190, 0.6659)  7 Hf 3.16-3.20, 4 Zr 3.19-3.20, 1 Sc 3.20
Zr (0.2518, 0.5810, 0.3341)  7 Hf 3.16-3.20, 4 Zr 3.19-3.20, 1 Sc 3.20
Sc (0.0000, 0.0000, 0.0000)  8 Zr 3.19-3.20, 4 Hf 3.23

***

No. 5
# Hf2ZrSc

Hf2ZrSc after structural relaxation (PBE, the Alexandria database).

Properties
M_tot: 0.0 μB per cell
ΔE to the lowest computed polymorph: 50 meV/atom

Unit cell a=3.2134 b=3.2134 c=10.4468 alpha=81.15 beta=81.15 gamma=60.00
Closest atoms and distances in Å follow each position.
Element x y z (fractional)
Hf (0.2509, 0.2509, 0.2473)  3 Zr 3.14, 3 Sc 3.19, 6 Hf 3.21
Hf (0.0826, 0.0826, 0.7522)  3 Zr 3.16, 3 Sc 3.19, 6 Hf 3.21
Zr (0.6665, 0.6665, 0.0006)  6 Hf 3.14-3.16, 6 Zr 3.21
Sc (0.5000, 0.5000, 0.5000)  6 Hf 3.19, 6 Sc 3.21

***

No. 6
# Hf2ZrSc4

Hf2ZrSc4 after structural relaxation (PBE, the Alexandria database).

Properties
M_tot: 0.0 μB per cell
ΔE to the lowest computed polymorph: 168 meV/atom

Unit cell a=4.4509 b=5.4194 c=15.0428 alpha=90.00 beta=90.00 gamma=114.25
Closest atoms and distances in Å follow each position.
Element x y z (fractional)
Sc (0.7469, 0.4939, 0.7500)  2 Hf 2.92, 3 Zr 2.96-2.99, 4 Sc 3.13
Sc (0.8960, 0.7921, 0.1374)  4 Hf 3.10-3.22, 5 Sc 3.13-3.39, 2 Zr 3.21
Sc (0.5000, 0.0000, 0.0000)  6 Hf 3.10-3.11, 4 Sc 3.21
Sc (0.8960, 0.7921, 0.3626)  4 Hf 3.10-3.22, 5 Sc 3.13-3.39, 2 Zr 3.21
Sc (0.1040, 0.2079, 0.8626)  4 Hf 3.10-3.22, 5 Sc 3.13-3.39, 2 Zr 3.21
Sc (0.1040, 0.2079, 0.6374)  4 Hf 3.10-3.22, 5 Sc 3.13-3.39, 2 Zr 3.21
Sc (0.2531, 0.5061, 0.2500)  2 Hf 2.92, 3 Zr 2.96-2.99, 4 Sc 3.13
Sc (0.5000, 0.0000, 0.5000)  6 Hf 3.10-3.11, 4 Sc 3.21
Hf (0.1988, 0.3976, 0.0589)  8 Sc 2.92-3.22, 2 Hf 3.02
Hf (0.8012, 0.6024, 0.9411)  8 Sc 2.92-3.22, 2 Hf 3.02
Hf (0.8012, 0.6024, 0.5589)  8 Sc 2.92-3.22, 2 Hf 3.02
Hf (0.1988, 0.3976, 0.4411)  8 Sc 2.92-3.22, 2 Hf 3.02
Zr (0.4444, 0.8888, 0.7500)  7 Sc 2.96-3.21
Zr (0.5556, 0.1112, 0.2500)  7 Sc 2.96-3.21

***

No. 7
# HfZr3Sc

HfZr3Sc after structural relaxation (PBE, the Alexandria database).

Properties
M_tot: 0.0 μB per cell
ΔE to the lowest computed polymorph: 756 meV/atom

Unit cell a=5.1770 b=5.1770 c=5.1770 alpha=90.00 beta=90.00 gamma=90.00
Closest atoms and distances in Å follow each position.
Element x y z (fractional)
Sc (0.5000, 0.5000, 0.5000)  12 Zr 3.66
Zr (0.5000, 0.0000, 0.0000)  2 Hf 2.59
Zr (0.0000, 0.5000, 0.0000)  2 Hf 2.59
Zr (0.0000, 0.0000, 0.5000)  2 Hf 2.59
Hf (0.0000, 0.0000, 0.0000)  6 Zr 2.59

***

No. 8
# HfZr3Sc8

HfZr3Sc8 after structural relaxation (PBE, the Alexandria database).

Properties
M_tot: 3.5 μB per cell

Unit cell a=7.6195 b=7.6195 c=7.6195 alpha=92.51 beta=118.56 gamma=118.56
Closest atoms and distances in Å follow each position.
Element x y z (fractional)
Sc (0.0000, 0.8814, 0.6194)  3 Sc 2.88-2.95, 1 Hf 3.00, 3 Zr 3.01-3.05
Sc (0.0000, 0.2499, 0.7489)  1 Zr 2.75, 1 Hf 2.76, 2 Sc 2.94-2.95
Sc (0.0000, 0.7489, 0.2499)  1 Zr 2.75, 1 Hf 2.76, 2 Sc 2.94-2.95
Sc (0.7380, 0.1186, 0.1186)  3 Sc 2.88-2.95, 1 Hf 3.00, 3 Zr 3.01-3.05
Sc (0.4989, 0.7501, 0.7501)  1 Zr 2.75, 1 Hf 2.76, 2 Sc 2.94-2.95
Sc (0.5011, 0.2511, 0.2511)  1 Zr 2.75, 1 Hf 2.76, 2 Sc 2.94-2.95
Sc (0.2620, 0.3806, 0.3806)  3 Sc 2.88-2.95, 1 Hf 3.00, 3 Zr 3.01-3.05
Sc (0.0000, 0.6194, 0.8814)  3 Sc 2.88-2.95, 1 Hf 3.00, 3 Zr 3.01-3.05
Zr (0.0000, 0.5000, 0.5000)  8 Sc 2.75-3.01
Zr (0.5000, 0.2500, 0.7500)  4 Sc 3.05
Zr (0.5000, 0.7500, 0.2500)  4 Sc 3.05
Hf (0.0000, 0.0000, 0.0000)  8 Sc 2.76-3.00

***

No. 9
# Hf3ZrSc

Hf3ZrSc after structural relaxation (PBE, the Alexandria database).

Properties
M_tot: 0.0 μB per cell
ΔE to the lowest computed polymorph: 0 meV/atom

Unit cell a=6.8542 b=6.8542 c=6.8542 alpha=64.89 beta=64.89 gamma=64.89
Closest atoms and distances in Å follow each position.
Element x y z (fractional)
Hf (0.9364, 0.4738, 0.7591)  1 Sc 2.84, 2 Zr 2.85-3.11, 3 Hf 2.97-3.17
Hf (0.0636, 0.5262, 0.2409)  1 Sc 2.84, 2 Zr 2.85-3.11, 3 Hf 2.97-3.17
Hf (0.7591, 0.9364, 0.4738)  1 Sc 2.84, 2 Zr 2.85-3.11, 3 Hf 2.97-3.17
Hf (0.4738, 0.7591, 0.9364)  1 Sc 2.84, 2 Zr 2.85-3.11, 3 Hf 2.97-3.17
Hf (0.5262, 0.2409, 0.0636)  1 Sc 2.84, 2 Zr 2.85-3.11, 3 Hf 2.97-3.17
Hf (0.2409, 0.0636, 0.5262)  1 Sc 2.84, 2 Zr 2.85-3.11, 3 Hf 2.97-3.17
Zr (0.5823, 0.5823, 0.5823)  1 Zr 2.66, 3 Hf 2.85
Zr (0.4177, 0.4177, 0.4177)  1 Zr 2.66, 3 Hf 2.85
Sc (0.8966, 0.8966, 0.8966)  3 Hf 2.84
Sc (0.1034, 0.1034, 0.1034)  3 Hf 2.84

***

No. 10
# Hf2ZrSc4

Hf2ZrSc4 after structural relaxation (PBE, the Alexandria database).

Properties
M_tot: 0.0 μB per cell
ΔE to the lowest computed polymorph: 0 meV/atom

Unit cell a=3.1975 b=5.9349 c=11.6463 alpha=92.17 beta=65.66 gamma=122.58
Closest atoms and distances in Å follow each position.
Element x y z (fractional)
Sc (0.3211, 0.7066, 0.5910)  11 Sc 3.20-3.53, 2 Hf 3.23
Sc (0.9359, 0.8579, 0.2806)  2 Hf 2.91, 7 Sc 3.20-3.25
Sc (0.6789, 0.2934, 0.4090)  11 Sc 3.20-3.53, 2 Hf 3.23
Sc (0.0641, 0.1421, 0.7194)  2 Hf 2.91, 7 Sc 3.20-3.25
Zr (0.0000, 0.0000, 0.0000)  2 Zr 3.20, 8 Hf 3.28-3.29, 4 Sc 3.30-3.31
Hf (0.2746, 0.5689, 0.8634)  1 Hf 2.81, 2 Sc 2.91
Hf (0.7254, 0.4311, 0.1366)  1 Hf 2.81, 2 Sc 2.91

***

Number 1: electronic total energy -0.5681 Ry/atom. Number 2: electronic total energy -0.6691 Ry/atom. Number 3: electronic total energy -0.5492 Ry/atom. Number 4: electronic total energy -0.6540 Ry/atom. Number 5: electronic total energy -0.6364 Ry/atom. Number 6: electronic total energy -0.5497 Ry/atom. Number 7: electronic total energy -0.5488 Ry/atom. Number 8: electronic total energy -0.4721 Ry/atom. Number 9: electronic total energy -0.6140 Ry/atom. Number 10: electronic total energy -0.5620 Ry/atom.